Entry 1:
An optimized crystal structure of Li5Cd6Ni. Source: the Alexandria database, functional PBE.

Computed properties:
Formation enthalpy at 0 K in eV per atom: -0.2135
Spin magnetization in μB per formula unit: 0.0
Space-group type: P2/m, No. 10

a b c (Å): 4.5435 6.7923 7.1626
angles (deg): 90.00 107.81 90.00
Fractional coordinates of all 12 atoms:
Li 0.0000 0.0000 0.0000
Li 0.3282 0.0000 0.6547
Li 0.3337 0.5000 0.6664
Li 0.6663 0.5000 0.3336
Li 0.6718 0.0000 0.3453
Cd 0.1603 0.2579 0.3226
Cd 0.1603 0.7421 0.3226
Cd 0.5000 0.2626 0.0000
Cd 0.5000 0.7374 0.0000
Cd 0.8397 0.2579 0.6774
Cd 0.8397 0.7421 0.6774
Ni 0.0000 0.5000 0.0000



Entry 2:
An optimized crystal structure of LiCdNi4. Source: the Alexandria database, functional PBE.

Computed properties:
Formation enthalpy at 0 K in eV per atom: -0.0417
Spin magnetization in μB per formula unit: 0.9
Space-group type: F-43m, No. 216

a b c (Å): 4.8030 4.8030 4.8030
angles (deg): 60.00 60.00 60.00
Fractional coordinates of all 6 atoms:
Li 0.0000 0.0000 0.0000
Cd 0.2500 0.2500 0.2500
Ni 0.1240 0.6253 0.6253
Ni 0.6253 0.1240 0.6253
Ni 0.6253 0.6253 0.1240
Ni 0.6253 0.6253 0.6253



Entry 3:
An optimized crystal structure of LiCdNi. Source: the Alexandria database, functional PBE.

Computed properties:
Formation enthalpy at 0 K in eV per atom: -0.0357
Spin magnetization in μB per formula unit: 0.0
Space-group type: Imm2, No. 44

a b c (Å): 4.7659 4.7659 4.7659
angles (deg): 145.45 132.60 59.97
Fractional coordinates of all 3 atoms:
Li 0.0000 0.0000 0.0000
Cd 0.6775 0.6775 0.0000
Ni 0.3418 0.3418 0.0000



Entry 4:
An optimized crystal structure of LiCdNi2. Source: the Alexandria database, functional PBE.

Computed properties:
Formation enthalpy at 0 K in eV per atom: 0.0628
Spin magnetization in μB per formula unit: 0.4
Space-group type: P2/m, No. 10

a b c (Å): 2.6673 4.1710 4.9374
angles (deg): 90.00 101.91 90.00
Fractional coordinates of all 4 atoms:
Li 0.0000 0.0000 0.0000
Cd 0.5000 0.0000 0.5000
Ni 0.1805 0.5000 0.7748
Ni 0.8195 0.5000 0.2252



Entry 5:
An optimized crystal structure of Li5Cd4Ni. Source: the Alexandria database, functional PBE.

Computed properties:
Formation enthalpy at 0 K in eV per atom: -0.0620
Spin magnetization in μB per formula unit: 0.0
Space-group type: C2/m, No. 12

a b c (Å): 8.0316 8.0316 9.0415
angles (deg): 109.39 109.39 21.31
Fractional coordinates of all 10 atoms:
Li 0.0000 0.0000 0.0000
Li 0.3269 0.3269 0.8109
Li 0.3538 0.3538 0.4171
Li 0.6462 0.6462 0.5829
Li 0.6731 0.6731 0.1891
Cd 0.1639 0.1639 0.8813
Cd 0.4809 0.4809 0.7259
Cd 0.5191 0.5191 0.2741
Cd 0.8361 0.8361 0.1187
Ni 0.0000 0.0000 0.5000



Entry 6:
An optimized crystal structure of LiCdNi2. Source: the Alexandria database, functional PBE.

Computed properties:
Formation enthalpy at 0 K in eV per atom: 0.0210
Spin magnetization in μB per formula unit: 0.0
Space-group type: Pmmm, No. 47

a b c (Å): 3.6780 3.7323 3.9049
angles (deg): 90.00 90.00 90.00
Fractional coordinates of all 4 atoms:
Li 0.0000 0.0000 0.0000
Cd 0.5000 0.5000 0.0000
Ni 0.0000 0.5000 0.5000
Ni 0.5000 0.0000 0.5000



Entry 7:
An optimized crystal structure of LiCdNi2. Source: the Alexandria database, functional PBE.

Computed properties:
Formation enthalpy at 0 K in eV per atom: 0.1914
Spin magnetization in μB per formula unit: 0.1
Space-group type: R-3m, No. 166

a b c (Å): 8.7972 8.7972 8.7972
angles (deg): 17.89 17.89 17.89
Fractional coordinates of all 4 atoms:
Li 0.0000 0.0000 0.0000
Cd 0.5000 0.5000 0.5000
Ni 0.2537 0.2537 0.2537
Ni 0.7463 0.7463 0.7463



Entry 8:
An optimized crystal structure of Li6Cd5Ni. Source: the Alexandria database, functional PBE.

Computed properties:
Formation enthalpy at 0 K in eV per atom: -0.1619
Spin magnetization in μB per formula unit: 0.0
Space-group type: Immm, No. 71

a b c (Å): 7.7659 7.7659 7.7659
angles (deg): 148.27 120.31 69.20
Fractional coordinates of all 12 atoms:
Li 0.0834 0.8406 0.2428
Li 0.2473 0.5000 0.7473
Li 0.4022 0.1594 0.2428
Li 0.5978 0.8406 0.7572
Li 0.7527 0.5000 0.2527
Li 0.9166 0.1594 0.7572
Cd 0.1502 0.6502 0.5000
Cd 0.3274 0.3274 0.0000
Cd 0.5000 0.0000 0.5000
Cd 0.6726 0.6726 0.0000
Cd 0.8498 0.3498 0.5000
Ni 0.0000 0.0000 0.0000



Entry 9:
An optimized crystal structure of LiCdNi2. Source: the Alexandria database, functional PBE.

Computed properties:
Formation enthalpy at 0 K in eV per atom: 0.0195
Spin magnetization in μB per formula unit: 0.0
Space-group type: F-43m, No. 216

a b c (Å): 4.2280 4.2280 4.2280
angles (deg): 60.00 60.00 60.00
Fractional coordinates of all 4 atoms:
Li 0.0000 0.0000 0.0000
Cd 0.7500 0.7500 0.7500
Ni 0.2500 0.2500 0.2500
Ni 0.5000 0.5000 0.5000



Entry 10:
An optimized crystal structure of LiCdNi2. Source: the Alexandria database, functional PBE.

Computed properties:
Formation enthalpy at 0 K in eV per atom: 0.0758
Spin magnetization in μB per formula unit: 0.0
Space-group type: Pmmm, No. 47

a b c (Å): 2.7230 3.7276 5.3591
angles (deg): 90.00 90.00 90.00
Fractional coordinates of all 4 atoms:
Li 0.0000 0.0000 0.0000
Cd 0.0000 0.0000 0.5000
Ni 0.5000 0.5000 0.2273
Ni 0.5000 0.5000 0.7727



Entry 11:
An optimized crystal structure of LiCdNi. Source: the Alexandria database, functional PBE.

Computed properties:
Formation enthalpy at 0 K in eV per atom: -0.0351
Spin magnetization in μB per formula unit: 0.0
Space-group type: P3m1, No. 156

a b c (Å): 4.3018 4.3018 2.7530
angles (deg): 90.00 90.00 120.00
Fractional coordinates of all 3 atoms:
Li 0.0000 0.0000 0.0000
Cd 0.3333 0.6667 0.5722
Ni 0.6667 0.3333 0.1218



Entry 12:
An optimized crystal structure of Li2CdNi. Source: the Alexandria database, functional PBE.

Computed properties:
Formation enthalpy at 0 K in eV per atom: -0.0319
Spin magnetization in μB per formula unit: 0.0
Space-group type: Cm, No. 8

a b c (Å): 4.9000 4.9000 4.6633
angles (deg): 105.23 105.23 34.48
Fractional coordinates of all 4 atoms:
Li 0.0000 0.0000 0.0000
Li 0.2340 0.2340 0.7720
Cd 0.4715 0.4715 0.4713
Ni 0.7245 0.7245 0.2697



Entry 13:
An optimized crystal structure of Li4CdNi. Source: the Alexandria database, functional PBE.

Computed properties:
Formation enthalpy at 0 K in eV per atom: -0.0470
Spin magnetization in μB per formula unit: 0.0
Space-group type: C2/m, No. 12

a b c (Å): 5.1554 5.1554 4.4682
angles (deg): 114.42 114.42 97.02
Fractional coordinates of all 6 atoms:
Li 0.0775 0.4088 0.2455
Li 0.4088 0.0775 0.2455
Li 0.5912 0.9225 0.7545
Li 0.9225 0.5912 0.7545
Cd 0.5000 0.5000 0.0000
Ni 0.0000 0.0000 0.5000



Entry 14:
An optimized crystal structure of LiCdNi2. Source: the Alexandria database, functional PBE.

Computed properties:
Formation enthalpy at 0 K in eV per atom: 0.0866
Spin magnetization in μB per formula unit: 0.0
Space-group type: C2/m, No. 12

a b c (Å): 5.0640 5.0640 2.6771
angles (deg): 102.27 102.27 119.11
Fractional coordinates of all 4 atoms:
Li 0.0000 0.0000 0.0000
Cd 0.5000 0.5000 0.0000
Ni 0.0000 0.5000 0.5000
Ni 0.5000 0.0000 0.5000



Entry 15:
An optimized crystal structure of Li3CdNi. Source: the Alexandria database, functional PBE.

Computed properties:
Formation enthalpy at 0 K in eV per atom: 0.2200
Spin magnetization in μB per formula unit: 0.0
Space-group type: Pm-3m, No. 221

a b c (Å): 4.5432 4.5432 4.5432
angles (deg): 90.00 90.00 90.00
Fractional coordinates of all 5 atoms:
Li 0.0000 0.0000 0.5000
Li 0.0000 0.5000 0.0000
Li 0.5000 0.0000 0.0000
Cd 0.5000 0.5000 0.5000
Ni 0.0000 0.0000 0.0000



Entry 16:
An optimized crystal structure of Li2CdNi. Source: the Alexandria database, functional PBE.

Computed properties:
Formation enthalpy at 0 K in eV per atom: 0.0905
Spin magnetization in μB per formula unit: 0.0
Space-group type: I-42d, No. 122

a b c (Å): 9.7098 9.7098 9.7098
angles (deg): 157.91 157.91 31.45
Fractional coordinates of all 8 atoms:
Li 0.1056 0.6250 0.9806
Li 0.3750 0.3556 0.4806
Li 0.6444 0.1250 0.0194
Li 0.8750 0.8944 0.5194
Cd 0.2500 0.7500 0.5000
Cd 0.5000 0.5000 0.0000
Ni 0.0000 0.0000 0.0000
Ni 0.7500 0.2500 0.5000



Entry 17:
An optimized crystal structure of Li2CdNi. Source: the Alexandria database, functional PBE.

Computed properties:
Formation enthalpy at 0 K in eV per atom: -0.0637
Spin magnetization in μB per formula unit: 0.0
Space-group type: C2/m, No. 12

a b c (Å): 5.0598 5.0598 4.5258
angles (deg): 110.69 110.69 34.08
Fractional coordinates of all 4 atoms:
Li 0.2295 0.2295 0.2262
Li 0.7705 0.7705 0.7738
Cd 0.0000 0.0000 0.5000
Ni 0.5000 0.5000 0.0000



Entry 18:
An optimized crystal structure of LiCdNi2. Source: the Alexandria database, functional PBE.

Computed properties:
Formation enthalpy at 0 K in eV per atom: 0.0805
Spin magnetization in μB per formula unit: 0.0
Space-group type: Cmmm, No. 65

a b c (Å): 4.6400 4.6400 2.7378
angles (deg): 90.00 90.00 110.85
Fractional coordinates of all 4 atoms:
Li 0.0000 0.0000 0.0000
Cd 0.5000 0.5000 0.0000
Ni 0.0000 0.5000 0.5000
Ni 0.5000 0.0000 0.5000



Entry 19:
An optimized crystal structure of Li2CdNi. Source: the Alexandria database, functional PBE.

Computed properties:
Formation enthalpy at 0 K in eV per atom: -0.0337
Spin magnetization in μB per formula unit: 0.0
Space-group type: P2/m, No. 10

a b c (Å): 2.7998 4.4285 4.8984
angles (deg): 90.00 97.16 90.00
Fractional coordinates of all 4 atoms:
Li 0.2171 0.0000 0.2736
Li 0.7829 0.0000 0.7264
Cd 0.5000 0.5000 0.0000
Ni 0.0000 0.5000 0.5000



Entry 20:
An optimized crystal structure of LiCd5Ni. Source: the Alexandria database, functional PBE.

Computed properties:
Formation enthalpy at 0 K in eV per atom: -0.0117
Spin magnetization in μB per formula unit: 0.0
Space-group type: C2/c, No. 15

a b c (Å): 5.1765 5.1765 10.6107
angles (deg): 97.31 97.31 90.00
Fractional coordinates of all 14 atoms:
Li 0.1431 0.8569 0.7500
Li 0.8569 0.1431 0.2500
Cd 0.0375 0.3830 0.8690
Cd 0.0382 0.2834 0.5683
Cd 0.2834 0.0382 0.0683
Cd 0.3830 0.0375 0.3690
Cd 0.4827 0.5173 0.2500
Cd 0.5173 0.4827 0.7500
Cd 0.6170 0.9625 0.6310
Cd 0.7166 0.9618 0.9317
Cd 0.9618 0.7166 0.4317
Cd 0.9625 0.6170 0.1310
Ni 0.5000 0.5000 0.0000
Ni 0.5000 0.5000 0.5000